A | Computed, not measured: an optimized crystal structure of BaNbCo2 at the GGA-PBE level of DFT.

```
data_BaNbCo2
_cell_length_a 5.061
_cell_length_b 5.061
_cell_length_c 15.520
_cell_angle_alpha 90.00
_cell_angle_beta 90.00
_cell_angle_gamma 90.00
_space_group_name_H-M_alt 'I 41/a m d'
_space_group_IT_number 141
loop_
_space_group_symop_operation_xyz
'x,y,z'
'-x,-y,-z'
'-y+1/4,x+3/4,z+1/4'
'y+1/4,-x+3/4,-z+1/4'
'-x+1/2,-y,z+1/2'
'x+1/2,y,-z+1/2'
'y+1/4,-x+1/4,z+3/4'
'-y+1/4,x+1/4,-z+3/4'
'x,-y,-z'
'-x,y,z'
'-y+1/4,-x+1/4,-z+3/4'
'y+1/4,x+1/4,z+3/4'
'-x+1/2,y,-z+1/2'
'x+1/2,-y,z+1/2'
'y+1/4,x+3/4,-z+1/4'
'-y+1/4,-x+3/4,z+1/4'
'x+1/2,y+1/2,z+1/2'
'-x+1/2,-y+1/2,-z+1/2'
'-y+3/4,x+1/4,z+3/4'
'y+3/4,-x+1/4,-z+3/4'
'-x,-y+1/2,z'
'x,y+1/2,-z'
'y+3/4,-x+3/4,z+1/4'
'-y+3/4,x+3/4,-z+1/4'
'x+1/2,-y+1/2,-z+1/2'
'-x+1/2,y+1/2,z+1/2'
'-y+3/4,-x+3/4,-z+1/4'
'y+3/4,x+3/4,z+1/4'
'-x,y+1/2,-z'
'x,-y+1/2,z'
'y+3/4,x+1/4,-z+3/4'
'-y+3/4,-x+1/4,z+3/4'
loop_
_atom_site_label
_atom_site_type_symbol
_atom_site_fract_x
_atom_site_fract_y
_atom_site_fract_z
_atom_site_occupancy
Ba1 Ba 0.000 0.250 0.375 1
Nb1 Nb 0.000 0.250 0.875 1
Co1 Co 0.000 0.000 0.000 1
```

Values from the calculation:
The crystal system is tetragonal.



B | Computed, not measured: an optimized crystal structure of BaNbCo2 at the GGA-PBE level of DFT.

```
data_BaNbCo2
_cell_length_a 6.672
_cell_length_b 6.672
_cell_length_c 6.672
_cell_angle_alpha 90.00
_cell_angle_beta 90.00
_cell_angle_gamma 90.00
_space_group_name_H-M_alt 'F m -3 m'
_space_group_IT_number 225
_space_group_name_Hall '-F 4 2 3'
loop_
_atom_site_label
_atom_site_type_symbol
_atom_site_fract_x
_atom_site_fract_y
_atom_site_fract_z
_atom_site_occupancy
Ba1 Ba 0.000 0.000 0.000 1
Nb1 Nb 0.000 0.000 0.500 1
Co1 Co 0.250 0.250 0.250 1
```

Values from the calculation:
The crystal system is cubic.



Of them, the most stable is A and the least stable is B.



A | Computed, not measured: an optimized crystal structure of BaCoNi3 at the GGA-PBE level of DFT.

```
data_BaCoNi3
_cell_length_a 4.546
_cell_length_b 4.546
_cell_length_c 4.546
_cell_angle_alpha 90.00
_cell_angle_beta 90.00
_cell_angle_gamma 90.00
_space_group_name_H-M_alt 'P m -3 m'
_space_group_IT_number 221
_space_group_name_Hall '-P 4 2 3'
loop_
_atom_site_label
_atom_site_type_symbol
_atom_site_fract_x
_atom_site_fract_y
_atom_site_fract_z
_atom_site_occupancy
Ba1 Ba 0.000 0.000 0.000 1
Co1 Co 0.500 0.500 0.500 1
Ni1 Ni 0.000 0.500 0.500 1
```

Values from the calculation:
The crystal system is cubic.



B | Computed, not measured: an optimized crystal structure of BaCoNi3 at the GGA-PBE level of DFT.

```
data_BaCoNi3
_cell_length_a 4.869
_cell_length_b 4.869
_cell_length_c 4.869
_cell_angle_alpha 90.00
_cell_angle_beta 90.00
_cell_angle_gamma 90.00
_space_group_name_H-M_alt 'P m -3 m'
_space_group_IT_number 221
_space_group_name_Hall '-P 4 2 3'
loop_
_atom_site_label
_atom_site_type_symbol
_atom_site_fract_x
_atom_site_fract_y
_atom_site_fract_z
_atom_site_occupancy
Ba1 Ba 0.000 0.000 0.000 1
Co1 Co 0.500 0.500 0.500 1
Ni1 Ni 0.000 0.000 0.500 1
```

Values from the calculation:
The crystal system is cubic.



Of them, the most stable is A and the least stable is B.



A | Computed, not measured: an optimized crystal structure of BaCo3Ni at the GGA-PBE level of DFT.

```
data_BaCo3Ni
_cell_length_a 4.796
_cell_length_b 4.796
_cell_length_c 4.796
_cell_angle_alpha 90.00
_cell_angle_beta 90.00
_cell_angle_gamma 90.00
_space_group_name_H-M_alt 'P m -3 m'
_space_group_IT_number 221
_space_group_name_Hall '-P 4 2 3'
loop_
_atom_site_label
_atom_site_type_symbol
_atom_site_fract_x
_atom_site_fract_y
_atom_site_fract_z
_atom_site_occupancy
Ba1 Ba 0.000 0.000 0.000 1
Co1 Co 0.000 0.000 0.500 1
Ni1 Ni 0.500 0.500 0.500 1
```

Values from the calculation:
The crystal system is cubic.



B | Computed, not measured: an optimized crystal structure of BaCo3Ni at the GGA-PBE level of DFT.

```
data_BaCo3Ni
_cell_length_a 4.576
_cell_length_b 4.576
_cell_length_c 4.576
_cell_angle_alpha 90.00
_cell_angle_beta 90.00
_cell_angle_gamma 90.00
_space_group_name_H-M_alt 'P m -3 m'
_space_group_IT_number 221
_space_group_name_Hall '-P 4 2 3'
loop_
_atom_site_label
_atom_site_type_symbol
_atom_site_fract_x
_atom_site_fract_y
_atom_site_fract_z
_atom_site_occupancy
Ba1 Ba 0.000 0.000 0.000 1
Co1 Co 0.000 0.500 0.500 1
Ni1 Ni 0.500 0.500 0.500 1
```

Values from the calculation:
The crystal system is cubic.



Of them, the most stable is B and the least stable is A.